(1)
Compound: YMg2AgTe
Source: the Alexandria database
Functional: PBE
Structure: optimized geometry

```
data_YMg2AgTe
_chemical_formula_sum 'Y1 Mg2 Ag1 Te1'
_cell_length_a 5.374
_cell_length_b 5.374
_cell_length_c 5.386
_cell_angle_alpha 90.00
_cell_angle_beta 90.00
_cell_angle_gamma 90.00
_symmetry_space_group_name_H-M 'P 4/m m m'
_symmetry_Int_Tables_number 123
_symmetry_space_group_name_Hall '-P 4 2'
loop_
_atom_site_label
_atom_site_fract_x
_atom_site_fract_y
_atom_site_fract_z
Y1 0.000 0.000 0.000
Mg1 0.000 0.500 0.500
Ag1 0.500 0.500 0.000
Te1 0.500 0.500 0.500
```

Properties
mass density	3.98	Mg/m³
final energy	-13.62	eV/cell
volume	31.1	A^3/atom

(2)
Compound: ThMg6Ag2
Source: the Alexandria database
Functional: PBE
Structure: optimized geometry

```
data_ThMg6Ag2
_chemical_formula_sum 'Th1 Mg6 Ag2'
_cell_length_a 4.361
_cell_length_b 4.361
_cell_length_c 10.890
_cell_angle_alpha 90.00
_cell_angle_beta 90.00
_cell_angle_gamma 90.00
_symmetry_space_group_name_H-M 'P 4/m m m'
_symmetry_Int_Tables_number 123
_symmetry_space_group_name_Hall '-P 4 2'
loop_
_atom_site_label
_atom_site_fract_x
_atom_site_fract_y
_atom_site_fract_z
Th1 0.000 0.000 0.000
Mg1 0.000 0.000 0.500
Mg2 0.000 0.500 0.282
Mg3 0.500 0.500 0.500
Ag1 0.500 0.500 0.125
```

Properties
mass density	4.76	Mg/m³
final energy	-23.25	eV/cell
volume	23.0	A^3/atom
DFT formation energy	-0.063	eV per atom

(3)
Compound: ThMgAg
Source: the Alexandria database
Functional: PBE
Structure: optimized geometry

```
data_ThMgAg
_chemical_formula_sum 'Th2 Mg2 Ag2'
_cell_length_a 3.342
_cell_length_b 3.342
_cell_length_c 12.945
_cell_angle_alpha 90.00
_cell_angle_beta 90.00
_cell_angle_gamma 90.00
_symmetry_space_group_name_H-M 'I 4 m m'
_symmetry_Int_Tables_number 107
_symmetry_space_group_name_Hall 'I 4 -2'
loop_
_atom_site_label
_atom_site_fract_x
_atom_site_fract_y
_atom_site_fract_z
Th1 0.000 0.000 0.000
Mg1 0.000 0.000 0.302
Ag1 0.000 0.000 0.677
```

Properties
mass density	8.37	Mg/m³
final energy	-24.14	eV/cell
volume	24.1	A^3/atom
DFT formation energy	-0.069	eV per atom

(4)
Compound: Th12Mg3Ag5
Source: the Alexandria database
Functional: PBE
Structure: optimized geometry

```
data_Th12Mg3Ag5
_chemical_formula_sum 'Th96 Mg24 Ag40'
_cell_length_a 17.819
_cell_length_b 17.819
_cell_length_c 17.819
_cell_angle_alpha 90.00
_cell_angle_beta 90.00
_cell_angle_gamma 90.00
_symmetry_space_group_name_H-M 'I a -3 d'
_symmetry_Int_Tables_number 230
_symmetry_space_group_name_Hall '-I 4bd 2c 3'
loop_
_atom_site_label
_atom_site_fract_x
_atom_site_fract_y
_atom_site_fract_z
Th1 0.014 0.073 0.650
Mg1 0.000 0.250 0.125
Ag1 0.000 0.000 0.000
Ag2 0.000 0.250 0.375
```

Properties
mass density	7.98	Mg/m³
final energy	-754.54	eV/cell
volume	35.4	A^3/atom
DFT formation energy	0.688	eV per atom

(5)
Compound: ThMg5Ag6
Source: the Alexandria database
Functional: PBE
Structure: optimized geometry

```
data_ThMg5Ag6
_chemical_formula_sum 'Th2 Mg10 Ag12'
_cell_length_a 8.468
_cell_length_b 14.441
_cell_length_c 4.885
_cell_angle_alpha 90.00
_cell_angle_beta 124.90
_cell_angle_gamma 90.00
_symmetry_space_group_name_H-M 'C 1 2/m 1'
_symmetry_Int_Tables_number 12
_symmetry_space_group_name_Hall '-C 2y'
loop_
_atom_site_label
_atom_site_fract_x
_atom_site_fract_y
_atom_site_fract_z
Th1 0.000 0.000 0.000
Mg1 0.000 0.163 0.500
Mg2 0.000 0.331 0.000
Mg3 0.000 0.500 0.500
Ag1 0.222 0.500 0.222
Ag2 0.236 0.325 0.734
```

Properties
mass density	6.78	Mg/m³
final energy	-68.24	eV/cell
volume	20.4	A^3/atom
DFT formation energy	-0.135	eV per atom

(6)
Compound: ThMgAg
Source: the Alexandria database
Functional: PBE
Structure: optimized geometry

```
data_ThMgAg
_chemical_formula_sum 'Th4 Mg4 Ag4'
_cell_length_a 3.984
_cell_length_b 15.283
_cell_length_c 4.775
_cell_angle_alpha 90.00
_cell_angle_beta 90.00
_cell_angle_gamma 90.00
_symmetry_space_group_name_H-M 'C m c m'
_symmetry_Int_Tables_number 63
_symmetry_space_group_name_Hall '-C 2c 2'
loop_
_atom_site_label
_atom_site_fract_x
_atom_site_fract_y
_atom_site_fract_z
Th1 0.000 0.067 0.250
Mg1 0.000 0.249 0.750
Ag1 0.000 0.382 0.250
```

Properties
mass density	8.32	Mg/m³
final energy	-47.58	eV/cell
volume	24.2	A^3/atom
DFT formation energy	-0.010	eV per atom

(7)
Compound: Th2MgAg6
Source: the Alexandria database
Functional: PBE
Structure: optimized geometry

```
data_Th2MgAg6
_chemical_formula_sum 'Th2 Mg1 Ag6'
_cell_length_a 6.2967
_cell_length_b 6.2967
_cell_length_c 5.8378
_cell_angle_alpha 90.00
_cell_angle_beta 90.00
_cell_angle_gamma 120.00
_symmetry_space_group_name_H-M 'P -3 m 1'
_symmetry_Int_Tables_number 164
_symmetry_space_group_name_Hall '-P 3 2"'
loop_
_atom_site_label
_atom_site_fract_x
_atom_site_fract_y
_atom_site_fract_z
Th1 0.3333 0.6667 0.3433
Mg1 0.0000 0.0000 0.5000
Ag1 0.1820 0.3640 0.8272
```

Properties
mass density	9.41	Mg/m³
final energy	-34.12	eV/cell
volume	22.3	A^3/atom
DFT formation energy	-0.064	eV per atom

(8)
Compound: ThMg3Ag2
Source: the Alexandria database
Functional: PBE
Structure: optimized geometry

```
data_ThMg3Ag2
_chemical_formula_sum 'Th3 Mg9 Ag6'
_cell_length_a 10.0304
_cell_length_b 10.0304
_cell_length_c 4.6632
_cell_angle_alpha 90.00
_cell_angle_beta 90.00
_cell_angle_gamma 120.00
_symmetry_space_group_name_H-M 'P 6/m m m'
_symmetry_Int_Tables_number 191
_symmetry_space_group_name_Hall '-P 6 2'
loop_
_atom_site_label
_atom_site_fract_x
_atom_site_fract_y
_atom_site_fract_z
Th1 0.0000 0.0000 0.0000
Th2 0.3333 0.6667 0.5000
Mg1 0.0000 0.3003 0.5000
Mg2 0.0000 0.5000 0.0000
Ag1 0.1876 0.3752 0.0000
```

Properties
mass density	6.38	Mg/m³
final energy	-55.78	eV/cell
volume	22.6	A^3/atom
DFT formation energy	-0.115	eV per atom

(9)
Compound: Th2MgAg
Source: the Alexandria database
Functional: PBE
Structure: optimized geometry

```
data_Th2MgAg
_chemical_formula_sum 'Th8 Mg4 Ag4'
_cell_length_a 7.583
_cell_length_b 7.583
_cell_length_c 7.583
_cell_angle_alpha 90.00
_cell_angle_beta 90.00
_cell_angle_gamma 90.00
_symmetry_space_group_name_H-M 'F m -3 m'
_symmetry_Int_Tables_number 225
_symmetry_space_group_name_Hall '-F 4 2 3'
loop_
_atom_site_label
_atom_site_fract_x
_atom_site_fract_y
_atom_site_fract_z
Th1 0.250 0.250 0.250
Mg1 0.000 0.000 0.000
Ag1 0.000 0.000 0.500
```

Properties
mass density	9.08	Mg/m³
final energy	-75.90	eV/cell
volume	27.3	A^3/atom
energy above the lowest structure with this stoichiometry	39	meV per atom
DFT formation energy	0.077	eV per atom

(10)
Compound: ThMgAg2
Source: the Alexandria database
Functional: PBE
Structure: optimized geometry

```
data_ThMgAg2
_chemical_formula_sum 'Th1 Mg1 Ag2'
_cell_length_a 5.227
_cell_length_b 5.227
_cell_length_c 3.441
_cell_angle_alpha 90.00
_cell_angle_beta 90.00
_cell_angle_gamma 90.00
_symmetry_space_group_name_H-M 'P 4/m m m'
_symmetry_Int_Tables_number 123
_symmetry_space_group_name_Hall '-P 4 2'
loop_
_atom_site_label
_atom_site_fract_x
_atom_site_fract_y
_atom_site_fract_z
Th1 0.000 0.000 0.000
Mg1 0.500 0.500 0.000
Ag1 0.000 0.500 0.500
```

Properties
mass density	8.34	Mg/m³
final energy	-14.86	eV/cell
volume	23.5	A^3/atom
DFT formation energy	-0.037	eV per atom

(11)
Compound: ThMg2Ag
Source: the Alexandria database
Functional: PBE
Structure: optimized geometry

```
data_ThMg2Ag
_chemical_formula_sum 'Th1 Mg2 Ag1'
_cell_length_a 4.448
_cell_length_b 4.448
_cell_length_c 5.060
_cell_angle_alpha 90.00
_cell_angle_beta 90.00
_cell_angle_gamma 90.00
_symmetry_space_group_name_H-M 'P 4/m m m'
_symmetry_Int_Tables_number 123
_symmetry_space_group_name_Hall '-P 4 2'
loop_
_atom_site_label
_atom_site_fract_x
_atom_site_fract_y
_atom_site_fract_z
Th1 0.000 0.000 0.000
Mg1 0.000 0.500 0.500
Ag1 0.500 0.500 0.000
```

Properties
mass density	6.45	Mg/m³
final energy	-13.25	eV/cell
volume	25.0	A^3/atom
DFT formation energy	0.053	eV per atom

(12)
Compound: ThMg2Ag3
Source: the Alexandria database
Functional: PBE
Structure: optimized geometry

```
data_ThMg2Ag3
_chemical_formula_sum 'Th1 Mg2 Ag3'
_cell_length_a 3.387
_cell_length_b 3.387
_cell_length_c 10.943
_cell_angle_alpha 90.00
_cell_angle_beta 90.00
_cell_angle_gamma 90.00
_symmetry_space_group_name_H-M 'P 4/m m m'
_symmetry_Int_Tables_number 123
_symmetry_space_group_name_Hall '-P 4 2'
loop_
_atom_site_label
_atom_site_fract_x
_atom_site_fract_y
_atom_site_fract_z
Th1 0.000 0.000 0.000
Mg1 0.000 0.000 0.349
Ag1 0.500 0.500 0.205
Ag2 0.500 0.500 0.500
```

Properties
mass density	7.99	Mg/m³
final energy	-20.23	eV/cell
volume	20.9	A^3/atom
DFT formation energy	-0.177	eV per atom